Material: TlFe2RhN
Method: DFT, PBE-GGA
State: relaxed

a b c (Å): 3.901 3.901 4.341
angles (deg): 90.00 90.00 90.00
Fractional positions:
Tl (0.000, 0.000, 0.000)
Fe (0.000, 0.500, 0.500)
Fe (0.500, 0.000, 0.500)
Rh (0.500, 0.500, 0.000)
N (0.500, 0.500, 0.500)

Output
Symmetry ... P4/mmm (123)
Size of the total moment ... 4.619 μB per formula unit
Uncorrected energy ... -6.85 eV per atom
Energy relative to the elements, uncorrected ... 0.14 eV per atom
Calculated volume ... 66.07 Å³/f.u.